Material: Ca2CdTe
Method: DFT, PBE
State: optimized geometry

a = 5.0078 Å, b = 5.0078 Å, c = 9.3046 Å
α = 90.00°, β = 90.00°, γ = 90.00°
Last column: nearest neighbours and their distance in Å.
Space group I4/mmm (No. 139)
One atom of each set of equivalent atoms:
Ca 0.0000 0.5000 0.2500  4 Cd 3.42, 4 Te 3.42, 4 Ca 3.54
Cd 0.0000 0.0000 0.0000  8 Ca 3.42, 4 Te 3.54
Te 0.0000 0.0000 0.5000  8 Ca 3.42, 4 Cd 3.54

- Spin magnetization: 0.00 Bohr magnetons per cell
- Mass density: 4.557 g/cm³
- Electronic total energy: -2.712 eV per atom

---

Material: InIrSe2
Method: DFT, PBE
State: optimized geometry

a = 3.7481 Å, b = 3.7481 Å, c = 22.3946 Å
α = 90.00°, β = 90.00°, γ = 120.00°
Last column: nearest neighbours and their distance in Å.
Space group R3m (No. 160, hexagonal axes)
One atom of each set of equivalent atoms:
In 0.0000 0.0000 0.0000  3 Se 2.66, 3 Ir 2.96
Ir 0.0000 0.0000 0.7567  3 Se 2.44
Se 0.0000 0.0000 0.2644  3 In 2.66
Se 0.0000 0.0000 0.4732  3 Ir 2.44

- Spin magnetization: 0.00 Bohr magnetons per cell
- Mass density: 8.501 g/cm³
- Electronic total energy: -4.777 eV per atom

---

Material: ScCuIr2
Method: DFT, PBE
State: optimized geometry

a = 2.8227 Å, b = 4.2230 Å, c = 5.3226 Å
α = 90.00°, β = 105.30°, γ = 90.00°
Last column: nearest neighbours and their distance in Å.
Space group P2/m (No. 10)
One atom of each set of equivalent atoms:
Sc 0.0000 0.0000 0.0000  2 Cu 2.66, 2 Sc 2.82, 8 Ir 2.88-2.91
Cu 0.0000 0.0000 0.5000  4 Ir 2.53, 2 Sc 2.66, 2 Cu 2.82
Ir 0.3750 0.5000 0.7292  2 Cu 2.53, 5 Ir 2.71-2.82

- Spin magnetization: 0.00 Bohr magnetons per cell
- Energy relative to the elements: -0.34 eV/atom
- Mass density: 13.376 g/cm³
- Electronic total energy: -7.373 eV per atom

---

Material: ReHg2BI
Method: DFT, PBE
State: optimized geometry

a = 7.0739 Å, b = 7.0739 Å, c = 4.4217 Å
α = 90.00°, β = 90.00°, γ = 90.00°
Last column: nearest neighbours and their distance in Å.
Space group P4/mmm (No. 123)
One atom of each set of equivalent atoms:
Re 0.0000 0.0000 0.0000  8 Hg 4.17, 2 Re 4.42
Hg 0.0000 0.5000 0.5000  2 I 3.54
B 0.5000 0.5000 0.0000  2 I 2.21
I 0.5000 0.5000 0.5000  2 B 2.21

- Spin magnetization: 5.67 Bohr magnetons per cell
- Mass density: 5.442 g/cm³
- Electronic total energy: -1.951 eV per atom

---

Material: Cs5Tl6In
Method: DFT, PBE
State: optimized geometry

a = 8.2848 Å, b = 17.7308 Å, c = 9.2951 Å
α = 90.00°, β = 112.01°, γ = 90.00°
Last column: nearest neighbours and their distance in Å.
Space group C2/m (No. 12)
One atom of each set of equivalent atoms:
Cs 0.0000 0.0000 0.0000  6 Tl 4.04-4.20
Cs 0.0000 0.2849 0.0000  6 Tl 3.79-4.22
Cs 0.0000 0.3588 0.5000  8 Tl 4.10-4.53
Tl 0.0896 0.1452 0.6806  1 In 3.01, 2 Tl 3.12-3.30
Tl 0.1445 0.5000 0.2011  1 In 3.20, 2 Tl 3.30
In 0.0000 0.0000 0.5000  6 Tl 3.01-3.20

- Spin magnetization: 0.00 Bohr magnetons per cell
- Energy relative to the elements: -0.09 eV/atom
- Mass density: 5.262 g/cm³
- Electronic total energy: -1.859 eV per atom

---

Material: Tb3Cd
Method: DFT, PBE
State: optimized geometry

a = 4.8225 Å, b = 4.8225 Å, c = 9.8087 Å
α = 90.00°, β = 90.00°, γ = 90.00°
Last column: nearest neighbours and their distance in Å.
Space group I4/mmm (No. 139)
One atom of each set of equivalent atoms:
Tb 0.0000 0.0000 0.0000  4 Cd 3.41, 8 Tb 3.44
Tb 0.0000 0.5000 0.2500  8 Tb 3.41-3.44, 4 Cd 3.44
Cd 0.0000 0.0000 0.5000  12 Tb 3.41-3.44

- Spin magnetization: 0.00 Bohr magnetons per cell
- Energy relative to the elements: -0.08 eV/atom
- Mass density: 8.578 g/cm³
- Electronic total energy: -3.780 eV per atom

---

Material: CsRuIN2
Method: DFT, PBE
State: optimized geometry

a = 4.3479 Å, b = 4.3479 Å, c = 5.6490 Å
α = 90.00°, β = 90.00°, γ = 90.00°
Last column: nearest neighbours and their distance in Å.
Space group P4/mmm (No. 123)
One atom of each set of equivalent atoms:
Cs 0.0000 0.0000 0.0000  4 I 3.07
Ru 0.5000 0.5000 0.5000  4 N 2.17
I 0.5000 0.5000 0.0000  2 Ru 2.82, 4 Cs 3.07
N 0.0000 0.5000 0.5000  2 Ru 2.17

- Spin magnetization: 0.99 Bohr magnetons per cell
- Mass density: 6.047 g/cm³
- Electronic total energy: -4.565 eV per atom

---

Material: LaTa
Method: DFT, PBE
State: optimized geometry

a = 3.5181 Å, b = 17.9821 Å, c = 3.5526 Å
α = 90.00°, β = 90.00°, γ = 90.00°
Last column: nearest neighbours and their distance in Å.
Space group Cmcm (No. 63)
One atom of each set of equivalent atoms:
La 0.0000 0.0966 0.2500  5 Ta 3.29-3.38, 4 La 3.52-3.55
Ta 0.0000 0.2844 0.2500  4 Ta 2.79

- Spin magnetization: 0.00 Bohr magnetons per cell
- Energy relative to the elements: 0.30 eV/atom
- Mass density: 9.453 g/cm³
- Electronic total energy: -8.088 eV per atom

---

Material: K3HoCl6
Method: DFT, PBE
State: optimized geometry

a = 13.2282 Å, b = 7.8544 Å, c = 12.8378 Å
α = 90.00°, β = 109.92°, γ = 90.00°
Last column: nearest neighbours and their distance in Å.
Space group P2_1/c (No. 14)
One atom of each set of equivalent atoms:
K 0.1125 0.0428 0.3722  7 Cl 3.22-3.51
K 0.3087 0.0513 0.7684  5 Cl 3.05-3.36
K 0.3273 0.5790 0.6119  6 Cl 3.13-3.30
Ho 0.0000 0.0000 0.0000  6 Cl 2.62-2.67
Ho 0.5000 0.0000 0.5000  6 Cl 2.63-2.66
Cl 0.0941 0.0384 0.8516  1 Ho 2.62
Cl 0.1074 0.7100 0.0682  1 Ho 2.67
Cl 0.1554 0.1662 0.1473  1 Ho 2.62
Cl 0.3367 0.7021 0.8957  1 Ho 2.65
Cl 0.3570 0.2360 0.4949  1 Ho 2.63
Cl 0.4944 0.6201 0.1916  1 Ho 2.66

- Spin magnetization: 0.00 Bohr magnetons per cell
- Mass density: 2.621 g/cm³
- Electronic total energy: -4.030 eV per atom

---

Material: La2ZnAu
Method: DFT, PBE
State: optimized geometry

a = 5.3162 Å, b = 3.8045 Å, c = 10.6458 Å
α = 90.00°, β = 90.00°, γ = 90.00°
Last column: nearest neighbours and their distance in Å.
Space group Pmma (No. 51)
One atom of each set of equivalent atoms:
La 0.2500 0.0000 0.1228  6 Au 3.27-3.31, 2 Zn 3.37
La 0.2500 0.0000 0.6264  2 Au 3.21, 6 Zn 3.21-3.27
Zn 0.2500 0.5000 0.3840  8 La 3.21-3.37
Au 0.2500 0.5000 0.8688  8 La 3.21-3.31

- Spin magnetization: 0.00 Bohr magnetons per cell
- Energy relative to the elements: -0.55 eV/atom
- Mass density: 8.332 g/cm³
- Electronic total energy: -4.152 eV per atom

---

Material: Ca2WBr
Method: DFT, PBE
State: optimized geometry

a = 3.2360 Å, b = 5.3654 Å, c = 6.1242 Å
α = 90.00°, β = 90.00°, γ = 90.00°
Last column: nearest neighbours and their distance in Å.
Space group Pmm2 (No. 25)
One atom of each set of equivalent atoms:
Ca 0.0000 0.0000 0.0000  2 W 3.06, 4 Br 3.13, 2 Ca 3.24
Ca 0.5000 0.5000 0.4984  2 Br 3.06, 4 W 3.13, 2 Ca 3.24
W 0.0000 0.0000 0.4997  6 Ca 3.06-3.13, 2 W 3.24
Br 0.5000 0.5000 0.9988  6 Ca 3.06-3.13, 2 Br 3.24

- Spin magnetization: 1.93 Bohr magnetons per cell
- Mass density: 5.371 g/cm³
- Electronic total energy: -4.243 eV per atom

---

Material: DyHg2I6
Method: DFT, PBE
State: optimized geometry

a = 15.9288 Å, b = 14.9537 Å, c = 8.2950 Å
α = 90.00°, β = 106.04°, γ = 90.00°
Last column: nearest neighbours and their distance in Å.
Space group C2/c (No. 15)
One atom of each set of equivalent atoms:
Dy 0.0000 0.0686 0.2500  6 I 3.04-3.09
Hg 0.0952 0.3902 0.1616  3 I 2.85-2.97
I 0.1086 0.0701 0.6214  2 Dy 3.07-3.09
I 0.1219 0.4429 0.5168  2 Hg 2.85-2.97
I 0.1272 0.1999 0.1646  1 Hg 2.89, 1 Dy 3.04

- Spin magnetization: 0.00 Bohr magnetons per cell
- Mass density: 4.635 g/cm³
- Electronic total energy: -2.268 eV per atom

---

Material: BeTlSbP2
Method: DFT, PBE
State: optimized geometry

a = 4.4104 Å, b = 4.4104 Å, c = 5.2326 Å
α = 90.00°, β = 90.00°, γ = 90.00°
Last column: nearest neighbours and their distance in Å.
Space group P4/mmm (No. 123)
One atom of each set of equivalent atoms:
Be 0.0000 0.0000 0.0000  4 P 2.21
Tl 0.0000 0.0000 0.5000  2 Be 2.62
Sb 0.5000 0.5000 0.5000  4 Tl 3.12, 8 P 3.42
P 0.0000 0.5000 0.0000  2 Be 2.21

- Spin magnetization: 0.00 Bohr magnetons per cell
- Mass density: 6.479 g/cm³
- Electronic total energy: -3.642 eV per atom

---

Material: BaY2MgCo
Method: DFT, PBE
State: optimized geometry

a = 5.2674 Å, b = 5.2674 Å, c = 5.3933 Å
α = 90.00°, β = 90.00°, γ = 90.00°
Last column: nearest neighbours and their distance in Å.
Space group P4/mmm (No. 123)
One atom of each set of equivalent atoms:
Ba 0.0000 0.0000 0.0000  4 Mg 3.72, 8 Y 3.77
Y 0.0000 0.5000 0.5000  2 Co 2.63
Mg 0.5000 0.5000 0.0000  2 Co 2.70
Co 0.5000 0.5000 0.5000  4 Y 2.63, 2 Mg 2.70

- Spin magnetization: 0.00 Bohr magnetons per cell
- Energy relative to the elements: -0.01 eV/atom
- Mass density: 4.421 g/cm³
- Electronic total energy: -4.720 eV per atom

---

Material: CaSc2Pb
Method: DFT, PBE
State: optimized geometry

a = 3.5268 Å, b = 5.0768 Å, c = 6.4398 Å
α = 90.00°, β = 104.46°, γ = 90.00°
Last column: nearest neighbours and their distance in Å.
Space group P2/m (No. 10)
One atom of each set of equivalent atoms:
Ca 0.0000 0.0000 0.0000  2 Pb 3.26, 8 Sc 3.48-3.63, 2 Ca 3.53
Sc 0.3278 0.5000 0.7196  2 Pb 3.04, 2 Sc 3.18-3.35
Pb 0.5000 0.0000 0.5000  4 Sc 3.04, 2 Ca 3.26

- Spin magnetization: 0.00 Bohr magnetons per cell
- Energy relative to the elements: -0.09 eV/atom
- Mass density: 5.015 g/cm³
- Electronic total energy: -4.682 eV per atom

---

Material: Tb3SmTm5
Method: DFT, PBE
State: optimized geometry

a = 15.1256 Å, b = 11.2387 Å, c = 9.9249 Å
α = 90.00°, β = 130.68°, γ = 90.00°
Last column: nearest neighbours and their distance in Å.
Space group C2/m (No. 12)
One atom of each set of equivalent atoms:
Tb 0.0000 0.0000 0.0000  2 Tb 2.99, 2 Sm 3.24
Tb 0.0000 0.5000 0.5000  4 Tm 2.94-3.15, 2 Sm 3.24
Tb 0.0089 0.0000 0.3100  1 Tb 2.99, 5 Tm 3.17-3.33, 1 Sm 3.33
Tb 0.0226 0.5000 0.8652  2 Tb 3.17-3.41, 1 Sm 3.21, 4 Tm 3.24-3.49
Sm 0.2505 0.0000 0.0981  4 Tb 3.21-3.33, 2 Tm 3.37-3.40
Tm 0.0000 0.2385 0.5000  1 Tb 2.94
Tm 0.1509 0.2502 0.2518  3 Tm 3.27-3.62, 2 Tb 3.45-3.49
Tm 0.2186 0.0000 0.7257  3 Tb 3.17-3.33, 3 Tm 3.26-3.35, 1 Sm 3.40
Tm 0.2239 0.5000 0.5385  3 Tb 3.15-3.27, 3 Tm 3.26-3.27, 1 Sm 3.37

- Spin magnetization: 0.00 Bohr magnetons per cell
- Energy relative to the elements: 0.53 eV/atom
- Mass density: 7.640 g/cm³
- Electronic total energy: -4.025 eV per atom

---

Material: BeV2NiMo
Method: DFT, PBE
State: optimized geometry

a = 4.1803 Å, b = 4.1803 Å, c = 3.6916 Å
α = 90.00°, β = 90.00°, γ = 90.00°
Last column: nearest neighbours and their distance in Å.
Space group P4/mmm (No. 123)
One atom of each set of equivalent atoms:
Be 0.0000 0.0000 0.0000  2 Ni 1.85
V 0.0000 0.5000 0.0000  2 Be 2.09
Ni 0.0000 0.0000 0.5000  2 Be 1.85
Mo 0.5000 0.5000 0.5000  8 V 2.79, 4 Ni 2.96

- Spin magnetization: 0.00 Bohr magnetons per cell
- Energy relative to the elements: 0.46 eV/atom
- Mass density: 6.835 g/cm³
- Electronic total energy: -7.251 eV per atom

---

Material: Li2Ac4Te3N2
Method: DFT, PBE
State: optimized geometry

a = 5.1921 Å, b = 5.1921 Å, c = 24.0899 Å
α = 90.00°, β = 90.00°, γ = 90.00°
Last column: nearest neighbours and their distance in Å.
Space group I4/mmm (No. 139)
One atom of each set of equivalent atoms:
Li 0.0000 0.0000 0.1954  1 N 2.02
Ac 0.0000 0.5000 0.0967  2 N 2.62
Te 0.0000 0.0000 0.3108  1 Li 2.78
Te 0.0000 0.0000 0.5000  8 Ac 3.49
N 0.0000 0.0000 0.1115  1 Li 2.02

- Spin magnetization: 0.00 Bohr magnetons per cell
- Mass density: 6.815 g/cm³
- Electronic total energy: -5.266 eV per atom

---

Material: CsK2TeCl
Method: DFT, PBE
State: optimized geometry

a = 5.9234 Å, b = 5.9234 Å, c = 6.4118 Å
α = 90.00°, β = 90.00°, γ = 90.00°
Last column: nearest neighbours and their distance in Å.
Space group P4/mmm (No. 123)
One atom of each set of equivalent atoms:
Cs 0.0000 0.0000 0.0000  2 Cl 3.21
K 0.0000 0.5000 0.5000  2 Cl 2.96
Te 0.5000 0.5000 0.0000  4 Cs 4.19, 8 K 4.36
Cl 0.0000 0.0000 0.5000  4 K 2.96, 2 Cs 3.21

- Spin magnetization: 0.00 Bohr magnetons per cell
- Mass density: 2.762 g/cm³
- Electronic total energy: -2.853 eV per atom

---

Material: Cs12Mg3Cl5
Method: DFT, PBE
State: optimized geometry

a = 22.2140 Å, b = 22.2140 Å, c = 22.2140 Å
α = 90.00°, β = 90.00°, γ = 90.00°
Last column: nearest neighbours and their distance in Å.
Space group Ia-3d (No. 230)
One atom of each set of equivalent atoms:
Cs 0.0284 0.0547 0.6486  2 Cl 3.34-3.57
Mg 0.0000 0.2500 0.1250  8 Cs 4.26-4.42
Cl 0.0000 0.0000 0.0000  6 Cs 3.57
Cl 0.0000 0.2500 0.3750  4 Cs 3.34

- Spin magnetization: 14.57 Bohr magnetons per cell
- Mass density: 2.236 g/cm³
- Electronic total energy: -2.018 eV per atom